Density functional theory data (GGA-PBE) for a relaxed LiNpS2O8 crystal.

Cell and atoms, written as POSCAR:
```
LiNpS2O8
1.0
-5.389 -0.553 0.663
3.315 -4.228 0.958
0.595 1.928 6.445
Li Np S O
1 1 2 8
Cartesian
0.000 0.000 0.000
0.298 0.964 3.222
-2.376 -1.417 1.968
0.898 -1.436 6.098
0.430 -2.952 1.029
-1.217 -0.467 2.148
-3.624 -0.715 2.445
-1.907 0.099 7.037
2.146 -2.139 5.622
-0.261 -2.386 5.918
0.665 -0.251 5.194
-2.143 -2.603 2.872
```

Symmetry: No. 164
DFT total energy, eV per atom: -6.979